# 1
# Li3Co2Si2O8, PBEsol geometry, DFT meta-GGA SCAN
data_Li3Co2Si2O8
_chemical_formula_sum 'Li3 Co2 Si2 O8'
_cell_length_a 4.9483
_cell_length_b 5.2380
_cell_length_c 6.3376
_cell_angle_alpha 89.44
_cell_angle_beta 89.95
_cell_angle_gamma 89.63
_space_group_name_H-M_alt 'P 1'
_space_group_IT_number 1
loop_
_space_group_symop_operation_xyz
'x,y,z'
loop_
_atom_site_label
_atom_site_type_symbol
_atom_site_fract_x
_atom_site_fract_y
_atom_site_fract_z
Li1 Li 0.0000 0.0000 0.0000
Li2 Li 0.0052 0.5159 0.7458
Li3 Li 0.5008 0.3504 0.4960
Co1 Co 0.5023 0.3454 0.9966
Co2 Co 0.9933 0.0030 0.4826
Si1 Si 0.4985 0.8559 0.7454
Si2 Si 0.9940 0.4984 0.2475
O1 O 0.0694 0.8008 0.2508
O2 O 0.1065 0.3555 0.4659
O3 O 0.1166 0.3669 0.0299
O4 O 0.1640 0.8651 0.7352
O5 O 0.6004 0.5543 0.7558
O6 O 0.6063 0.0071 0.9537
O7 O 0.6202 0.0011 0.5372
O8 O 0.6676 0.4520 0.2423
# **Formation energy without anion corrections**: -2.277 eV/atom
# **Total magnetization**: 7.00 μB/f.u.
# **Energy above the lowest structure with this stoichiometry**: 0 meV per atom

# 2
# ZrTlZn2, PBEsol geometry, DFT meta-GGA SCAN
data_ZrTlZn2
_chemical_formula_sum 'Zr1 Tl1 Zn2'
_cell_length_a 3.1388
_cell_length_b 4.2391
_cell_length_c 5.7796
_cell_angle_alpha 90.00
_cell_angle_beta 104.78
_cell_angle_gamma 90.00
_space_group_name_H-M_alt 'P 1 m 1'
_space_group_IT_number 6
loop_
_space_group_symop_operation_xyz
'x,y,z'
'x,-y,z'
loop_
_atom_site_label
_atom_site_type_symbol
_atom_site_fract_x
_atom_site_fract_y
_atom_site_fract_z
Zr1 Zr 0.0000 0.0000 0.0000
Tl1 Tl 0.6563 0.5000 0.3078
Zn1 Zn 0.2867 0.0000 0.5453
Zn2 Zn 0.3991 0.5000 0.7893
# **Total magnetization**: 0.00 μB/f.u.
# **Energy above the lowest structure with this stoichiometry**: 198 meV per atom
# **ΔE_f**: -0.048 eV per atom

# 3
# Ba2CaUO6, PBEsol geometry, DFT meta-GGA SCAN
data_Ba2CaUO6
_chemical_formula_sum 'Ba4 Ca2 U2 O12'
_cell_length_a 6.1494
_cell_length_b 6.1003
_cell_length_c 10.5735
_cell_angle_alpha 90.00
_cell_angle_beta 125.41
_cell_angle_gamma 90.00
_space_group_name_H-M_alt 'P 1 21/c 1'
_space_group_IT_number 14
loop_
_space_group_symop_operation_xyz
'x,y,z'
'-x,-y,-z'
'-x,y+1/2,-z+1/2'
'x,-y+1/2,z+1/2'
loop_
_atom_site_label
_atom_site_type_symbol
_atom_site_fract_x
_atom_site_fract_y
_atom_site_fract_z
Ba1 Ba 0.2439 0.0186 0.2504
Ca1 Ca 0.5000 0.0000 0.0000
U1 U 0.0000 0.0000 0.5000
O1 O 0.1733 0.2415 0.9588
O2 O 0.2183 0.7161 0.9621
O3 O 0.3080 0.0125 0.7353
# **Formation energy without anion corrections**: -3.395 eV/atom
# **Total magnetization**: 0.00 μB/f.u.

# 4
# CuP2SeCl, PBEsol geometry, DFT meta-GGA SCAN
data_CuP2SeCl
_chemical_formula_sum 'Cu1 P2 Se1 Cl1'
_cell_length_a 4.7503
_cell_length_b 4.7503
_cell_length_c 4.8308
_cell_angle_alpha 90.00
_cell_angle_beta 90.00
_cell_angle_gamma 90.00
_space_group_name_H-M_alt 'P 4/m m m'
_space_group_IT_number 123
_space_group_name_Hall '-P 4 2'
loop_
_atom_site_label
_atom_site_type_symbol
_atom_site_fract_x
_atom_site_fract_y
_atom_site_fract_z
Cu1 Cu 0.0000 0.0000 0.0000
P1 P 0.0000 0.5000 0.5000
Se1 Se 0.5000 0.5000 0.5000
Cl1 Cl 0.5000 0.5000 0.0000
# **Formation energy without anion corrections**: 1.201 eV/atom
# **Total magnetization**: 1.26 μB/f.u.

# 5
# TlSe2O, PBEsol geometry, DFT meta-GGA SCAN
data_TlSe2O
_chemical_formula_sum 'Tl4 Se8 O4'
_cell_length_a 5.6303
_cell_length_b 5.6303
_cell_length_c 12.1862
_cell_angle_alpha 90.00
_cell_angle_beta 90.00
_cell_angle_gamma 90.00
_space_group_name_H-M_alt 'I 41/a m d'
_space_group_IT_number 141
loop_
_space_group_symop_operation_xyz
'x,y,z'
'-x,-y,-z'
'-y+1/4,x+3/4,z+1/4'
'y+1/4,-x+3/4,-z+1/4'
'-x+1/2,-y,z+1/2'
'x+1/2,y,-z+1/2'
'y+1/4,-x+1/4,z+3/4'
'-y+1/4,x+1/4,-z+3/4'
'x,-y,-z'
'-x,y,z'
'-y+1/4,-x+1/4,-z+3/4'
'y+1/4,x+1/4,z+3/4'
'-x+1/2,y,-z+1/2'
'x+1/2,-y,z+1/2'
'y+1/4,x+3/4,-z+1/4'
'-y+1/4,-x+3/4,z+1/4'
'x+1/2,y+1/2,z+1/2'
'-x+1/2,-y+1/2,-z+1/2'
'-y+3/4,x+1/4,z+3/4'
'y+3/4,-x+1/4,-z+3/4'
'-x,-y+1/2,z'
'x,y+1/2,-z'
'y+3/4,-x+3/4,z+1/4'
'-y+3/4,x+3/4,-z+1/4'
'x+1/2,-y+1/2,-z+1/2'
'-x+1/2,y+1/2,z+1/2'
'-y+3/4,-x+3/4,-z+1/4'
'y+3/4,x+3/4,z+1/4'
'-x,y+1/2,-z'
'x,-y+1/2,z'
'y+3/4,x+1/4,-z+3/4'
'-y+3/4,-x+1/4,z+3/4'
loop_
_atom_site_label
_atom_site_type_symbol
_atom_site_fract_x
_atom_site_fract_y
_atom_site_fract_z
Tl1 Tl 0.0000 0.2500 0.3750
Se1 Se 0.0000 0.0000 0.0000
O1 O 0.0000 0.2500 0.8750
# **Formation energy without anion corrections**: -0.111 eV/atom
# **Total magnetization**: 0.00 μB/f.u.

# 6
# TcNiP, PBEsol geometry, DFT meta-GGA SCAN
data_TcNiP
_chemical_formula_sum 'Tc4 Ni4 P4'
_cell_length_a 5.5315
_cell_length_b 5.5315
_cell_length_c 5.5315
_cell_angle_alpha 90.00
_cell_angle_beta 90.00
_cell_angle_gamma 90.00
_space_group_name_H-M_alt 'F -4 3 m'
_space_group_IT_number 216
_space_group_name_Hall 'F -4 2 3'
loop_
_atom_site_label
_atom_site_type_symbol
_atom_site_fract_x
_atom_site_fract_y
_atom_site_fract_z
Tc1 Tc 0.0000 0.0000 0.0000
Ni1 Ni 0.2500 0.2500 0.7500
P1 P 0.2500 0.2500 0.2500
# **Total magnetization**: 1.14 μB/f.u.
# **Energy above the lowest structure with this stoichiometry**: 501 meV per atom
# **ΔE_f**: 0.022 eV per atom

# 7
# TbPr3, PBEsol geometry, DFT meta-GGA SCAN
data_TbPr3
_chemical_formula_sum 'Tb2 Pr6'
_cell_length_a 7.2256
_cell_length_b 7.2256
_cell_length_c 5.8520
_cell_angle_alpha 90.00
_cell_angle_beta 90.00
_cell_angle_gamma 120.00
_space_group_name_H-M_alt 'P 63/m m c'
_space_group_IT_number 194
_space_group_name_Hall '-P 6c 2c'
loop_
_atom_site_label
_atom_site_type_symbol
_atom_site_fract_x
_atom_site_fract_y
_atom_site_fract_z
Tb1 Tb 0.3333 0.6667 0.2500
Pr1 Pr 0.1671 0.3343 0.7500
# **Total magnetization**: 0.00 μB/f.u.
# **ΔE_f**: 0.032 eV per atom

# 8
# SrFe2Ag, PBEsol geometry, DFT meta-GGA SCAN
data_SrFe2Ag
_chemical_formula_sum 'Sr1 Fe2 Ag1'
_cell_length_a 3.1266
_cell_length_b 3.7764
_cell_length_c 6.5773
_cell_angle_alpha 90.00
_cell_angle_beta 90.00
_cell_angle_gamma 90.00
_space_group_name_H-M_alt 'P m m m'
_space_group_IT_number 47
loop_
_space_group_symop_operation_xyz
'x,y,z'
'-x,-y,-z'
'-x,-y,z'
'x,y,-z'
'x,-y,-z'
'-x,y,z'
'-x,y,-z'
'x,-y,z'
loop_
_atom_site_label
_atom_site_type_symbol
_atom_site_fract_x
_atom_site_fract_y
_atom_site_fract_z
Sr1 Sr 0.0000 0.0000 0.0000
Fe1 Fe 0.5000 0.5000 0.3333
Ag1 Ag 0.0000 0.0000 0.5000
# **Total magnetization**: 6.00 μB/f.u.
# **ΔE_f**: 0.612 eV per atom

Number 1: Fermi-level density of states 6.09 states/eV per cell. Number 2: Fermi-level density of states 2.31 states/eV per cell. Number 3: Fermi-level density of states 0.00 states/eV per cell. Number 4: Fermi-level density of states 2.29 states/eV per cell. Number 5: Fermi-level density of states 5.47 states/eV per cell. Number 6: Fermi-level density of states 7.90 states/eV per cell. Number 7: Fermi-level density of states 12.00 states/eV per cell. Number 8: Fermi-level density of states 4.93 states/eV per cell.